1.
Below is crystalline CePuThTc at its relaxed geometry, with properties calculated at the PBE level.

- theoretical density (kg/m3) = 12624
- energy relative to the elements (meV/atom) = 128

a b c (Å): 7.216 7.216 7.216
angles (deg): 90.00 90.00 90.00
Sites, in units of the cell vectors:
Ce1 0.000 0.000 0.000
Ce2 0.000 0.500 0.500
Ce3 0.500 0.000 0.500
Ce4 0.500 0.500 0.000
Pu1 0.250 0.250 0.250
Pu2 0.250 0.750 0.750
Pu3 0.750 0.250 0.750
Pu4 0.750 0.750 0.250
Th1 0.000 0.000 0.500
Th2 0.000 0.500 0.000
Th3 0.500 0.000 0.000
Th4 0.500 0.500 0.500
Tc1 0.250 0.250 0.750
Tc2 0.250 0.750 0.250
Tc3 0.750 0.250 0.250
Tc4 0.750 0.750 0.750

2.
Below is crystalline Na2CaGaGe2 at its relaxed geometry, with properties calculated at the PBE level.

- theoretical density (kg/m3) = 3538
- energy relative to the elements (meV/atom) = -294

a b c (Å): 4.346 8.684 7.488
angles (deg): 90.00 90.00 90.00
Sites, in units of the cell vectors:
Na1 0.000 0.083 0.000
Na2 0.000 0.917 0.500
Na3 0.500 0.160 0.319
Na4 0.500 0.840 0.819
Ca1 0.500 0.445 0.974
Ca2 0.500 0.555 0.474
Ga1 0.000 0.327 0.628
Ga2 0.000 0.673 0.128
Ge1 0.000 0.386 0.263
Ge2 0.000 0.614 0.763
Ge3 0.500 0.173 0.709
Ge4 0.500 0.827 0.209

3.
Below is crystalline ZrTa3Sb at its relaxed geometry, with properties calculated at the PBE level.

- theoretical density (kg/m3) = 10078
- ΔE to the lowest computed polymorph (meV per atom) = 0
- energy relative to the elements, uncorrected (eV per atom) = 1.482

a b c (Å): 4.994 4.994 4.994
angles (deg): 90.00 90.00 90.00
Sites, in units of the cell vectors:
Zr1 0.000 0.000 0.000
Ta1 0.000 0.500 0.500
Ta2 0.500 0.000 0.500
Ta3 0.500 0.500 0.000
Sb1 0.500 0.500 0.500

4.
Below is crystalline USeO5 at its relaxed geometry, with properties calculated at the PBE level.

- theoretical density (kg/m3) = 5153
- ΔE to the lowest computed polymorph (meV per atom) = 0
- energy relative to the elements, uncorrected (eV per atom) = -2.084

a b c (Å): 5.639 6.347 8.150
angles (deg): 99.77 109.18 104.84
Sites, in units of the cell vectors:
U1 0.000 0.000 0.000
U2 0.500 0.000 0.500
Se1 0.206 0.399 0.733
Se2 0.794 0.601 0.267
O1 0.127 0.709 0.417
O2 0.138 0.822 0.888
O3 0.190 0.302 0.914
O4 0.333 0.215 0.633
O5 0.343 0.071 0.280
O6 0.657 0.929 0.720
O7 0.667 0.785 0.367
O8 0.810 0.698 0.086
O9 0.862 0.178 0.112
O10 0.873 0.291 0.583